DFT (GGA-PBE) results for an optimized crystal structure of CdSb3.

Properties
Spin magnetization in μB/cell: 0.0
D(E_F) in states/eV per atom: 0.61
Calculated total energy in eV per atom: -3.165
ΔE to the lowest computed polymorph in meV/atom: 99
Space group: No. 71

Geometry as POSCAR:
```
CdSb3
1.0
6.6606 -0.0135 0.0024
3.8266 5.4517 -0.0024
-5.1586 -2.8831 3.0726
Sb Cd
3 1
Direct
0.7043 0.2043 0.5000
0.5000 0.5000 0.0000
0.2957 0.7957 0.5000
0.0000 0.0000 0.0000
```